[1]
Here is an optimized crystal structure of Rb3Ag2Hg4 from the Alexandria database. Energies are from GGA-PBE.

The structure in POSCAR format:
```
Rb3Ag2Hg4
1.0
5.083 0.000 0.000
-2.541 6.320 -1.660
0.000 -0.046 10.120
Hg Rb Ag
4 3 2
direct
0.055 0.110 0.382
0.945 0.890 0.618
0.717 0.434 0.066
0.283 0.566 0.934
0.332 0.665 0.338
0.000 0.000 0.000
0.668 0.335 0.662
0.394 0.787 0.721
0.606 0.213 0.279
```

symmetry = No. 12
E = -11.07 eV per formula unit

---

[2]
Here is an optimized crystal structure of Rb2AgHg5 from the Alexandria database. Energies are from GGA-PBE.

The structure in POSCAR format:
```
Rb2AgHg5
1.0
-1.919 6.661 0.228
-3.034 -1.083 6.142
7.727 -1.373 -0.342
Ag Hg Rb
1 5 2
direct
0.900 0.900 0.801
0.790 0.790 0.067
0.277 0.790 0.067
0.790 0.277 0.067
0.277 0.277 0.067
0.671 0.671 0.341
0.786 0.286 0.572
0.286 0.786 0.572
```

symmetry = No. 107
E = -7.44 eV per formula unit

---

[3]
Here is an optimized crystal structure of RbAg2Hg9 from the Alexandria database. Energies are from GGA-PBE.

The structure in POSCAR format:
```
RbAg2Hg9
1.0
4.190 0.000 0.000
0.000 8.340 -4.815
0.000 0.000 9.631
Ag Hg Rb
2 9 1
direct
0.000 0.667 0.333
0.000 0.333 0.667
0.000 0.500 0.000
0.500 0.194 0.806
0.000 0.000 0.500
0.500 0.612 0.806
0.000 0.500 0.500
0.500 0.194 0.388
0.500 0.806 0.194
0.500 0.388 0.194
0.500 0.806 0.612
0.000 0.000 0.000
```

symmetry = No. 191
E = -9.66 eV per formula unit

---

[4]
Here is an optimized crystal structure of Rb7AgHg2 from the Alexandria database. Energies are from GGA-PBE.

The structure in POSCAR format:
```
Rb7AgHg2
1.0
8.883 0.000 4.332
3.107 9.874 4.903
-0.647 0.463 12.601
Rb Hg Ag
14 4 2
direct
0.083 0.967 0.641
0.874 0.717 0.001
0.094 0.586 0.595
0.310 0.467 0.141
0.906 0.414 0.405
0.591 0.783 0.499
0.409 0.217 0.501
0.725 0.086 0.095
0.917 0.033 0.359
0.126 0.283 0.999
0.275 0.914 0.905
0.600 0.250 0.750
0.690 0.533 0.859
0.400 0.750 0.250
0.701 0.904 0.701
0.306 0.596 0.799
0.694 0.404 0.201
0.299 0.096 0.299
0.995 0.250 0.750
0.005 0.750 0.250
```

symmetry = No. 15
E = -10.84 eV per formula unit

---

[5]
Here is an optimized crystal structure of Rb11AgHg2 from the Alexandria database. Energies are from GGA-PBE.

The structure in POSCAR format:
```
Rb11AgHg2
1.0
-1.807 -12.781 -4.216
10.388 -6.053 -7.970
5.386 -10.648 8.104
Hg Rb Ag
4 22 2
direct
0.354 0.324 0.676
0.146 0.824 0.176
0.854 0.176 0.824
0.646 0.676 0.324
0.276 0.536 0.137
0.428 0.821 0.925
0.875 0.781 0.219
0.125 0.219 0.781
0.375 0.719 0.281
0.625 0.281 0.719
0.928 0.425 0.321
0.776 0.637 0.036
0.450 0.964 0.363
0.000 0.000 0.000
0.550 0.036 0.637
0.572 0.179 0.075
0.674 0.679 0.575
0.500 0.500 0.500
0.174 0.075 0.179
0.326 0.321 0.425
0.950 0.863 0.464
0.826 0.925 0.821
0.224 0.363 0.964
0.050 0.137 0.536
0.072 0.575 0.679
0.724 0.464 0.863
0.750 0.750 0.750
0.250 0.250 0.250
```

symmetry = No. 72
E = -14.09 eV per formula unit

---

[6]
Here is an optimized crystal structure of RbAgHg2 from the Alexandria database. Energies are from GGA-PBE.

The structure in POSCAR format:
```
RbAgHg2
1.0
5.727 0.000 0.000
0.000 5.727 0.000
2.863 2.863 9.651
Ag Hg Rb
2 4 2
direct
0.750 0.250 0.500
0.000 0.000 0.000
0.875 0.049 0.750
0.799 0.125 0.250
0.375 0.201 0.750
0.951 0.625 0.250
0.500 0.500 0.000
0.250 0.750 0.500
```

symmetry = No. 122
distance to the lowest polymorph of the same formula = 76.6 meV/atom

---

[7]
Here is an optimized crystal structure of Rb2AgHg7 from the Alexandria database. Energies are from GGA-PBE.

The structure in POSCAR format:
```
Rb2AgHg7
1.0
8.059 0.000 0.000
4.029 6.979 0.000
4.029 2.326 6.580
Hg Rb Ag
7 2 1
direct
0.500 0.500 0.500
0.245 0.245 0.755
0.245 0.755 0.245
0.755 0.245 0.755
0.245 0.755 0.755
0.755 0.755 0.245
0.755 0.245 0.245
0.250 0.250 0.250
0.750 0.750 0.750
0.000 0.000 0.000
```

symmetry = No. 225
E = -7.80 eV per formula unit

---

[8]
Here is an optimized crystal structure of RbAgHg from the Alexandria database. Energies are from GGA-PBE.

The structure in POSCAR format:
```
RbAgHg
1.0
-3.345 0.695 3.382
-2.042 -4.465 -1.103
3.603 0.324 3.498
Ag Rb Hg
1 1 1
direct
0.167 0.667 0.333
0.667 0.333 0.667
0.166 0.000 0.000
```

symmetry = No. 187
distance to the lowest polymorph of the same formula = 0.0 meV/atom

---

[9]
Here is an optimized crystal structure of RbAgHg2 from the Alexandria database. Energies are from GGA-PBE.

The structure in POSCAR format:
```
RbAgHg2
1.0
5.023 0.000 0.000
2.511 4.350 0.000
2.511 1.450 6.186
Ag Hg Rb
1 2 1
direct
0.687 0.687 0.939
0.029 0.029 0.912
0.291 0.291 0.126
0.492 0.492 0.523
```

symmetry = No. 160
distance to the lowest polymorph of the same formula = 7.4 meV/atom

---

[10]
Here is an optimized crystal structure of Rb5Ag3Hg12 from the Alexandria database. Energies are from GGA-PBE.

The structure in POSCAR format:
```
Rb5Ag3Hg12
1.0
16.611 0.000 0.000
-5.537 15.661 0.000
-5.537 -7.830 13.562
Rb Hg Ag
20 48 12
direct
0.375 0.250 0.125
0.375 0.125 0.750
0.125 0.750 0.375
0.625 0.750 0.875
0.750 0.125 0.875
0.875 0.250 0.625
0.500 0.500 0.000
0.250 0.875 0.125
0.500 0.500 0.500
0.000 0.500 0.000
0.000 0.500 0.500
0.500 0.000 0.000
0.000 0.000 0.500
0.125 0.375 0.250
0.250 0.375 0.625
0.500 0.000 0.500
0.000 0.000 0.000
0.750 0.625 0.375
0.875 0.625 0.750
0.625 0.875 0.250
0.146 0.746 0.599
0.901 0.354 0.254
0.047 0.900 0.146
0.854 0.600 0.953
0.354 0.901 0.754
0.953 0.853 0.599
0.099 0.646 0.746
0.854 0.254 0.401
0.453 0.354 0.600
0.547 0.901 0.647
0.646 0.099 0.246
0.853 0.953 0.099
0.401 0.754 0.854
0.901 0.547 0.147
0.254 0.854 0.901
0.246 0.599 0.646
0.900 0.047 0.646
0.254 0.400 0.853
0.646 0.547 0.900
0.401 0.647 0.047
0.400 0.254 0.353
0.647 0.401 0.547
0.246 0.647 0.100
0.100 0.147 0.246
0.147 0.047 0.901
0.099 0.453 0.853
0.647 0.246 0.600
0.746 0.146 0.099
0.146 0.400 0.047
0.147 0.100 0.746
0.400 0.146 0.547
0.353 0.754 0.400
0.599 0.353 0.953
0.453 0.099 0.353
0.353 0.599 0.453
0.853 0.900 0.254
0.746 0.600 0.147
0.754 0.353 0.900
0.354 0.453 0.100
0.600 0.854 0.453
0.600 0.746 0.647
0.953 0.100 0.854
0.599 0.246 0.146
0.900 0.853 0.754
0.754 0.401 0.354
0.047 0.147 0.401
0.547 0.646 0.400
0.100 0.953 0.354
0.375 0.625 0.250
0.625 0.375 0.750
0.250 0.125 0.375
0.875 0.750 0.125
0.750 0.875 0.625
0.125 0.250 0.875
0.375 0.750 0.625
0.875 0.125 0.250
0.750 0.375 0.125
0.625 0.250 0.375
0.125 0.875 0.750
0.250 0.625 0.875
```

symmetry = No. 230
E = -17.43 eV per formula unit

---

[11]
Here is an optimized crystal structure of Rb5Ag2Hg5 from the Alexandria database. Energies are from GGA-PBE.

The structure in POSCAR format:
```
Rb5Ag2Hg5
1.0
-1.736 2.797 -3.786
-6.728 -5.356 -4.197
-8.147 5.464 4.448
Ag Rb Hg
2 5 5
direct
0.612 0.535 0.240
0.388 0.465 0.760
0.308 0.303 0.080
0.624 0.074 0.678
0.376 0.926 0.322
0.000 0.500 0.500
0.692 0.697 0.920
0.933 0.311 0.823
0.707 0.241 0.345
0.067 0.689 0.177
0.000 0.000 0.000
0.293 0.759 0.655
```

symmetry = No. 12
E = -13.92 eV per formula unit

---

[12]
Here is an optimized crystal structure of Rb6AgHg3 from the Alexandria database. Energies are from GGA-PBE.

The structure in POSCAR format:
```
Rb6AgHg3
1.0
5.192 0.000 0.000
0.000 12.593 -5.196
0.000 -0.046 16.323
Rb Hg Ag
12 6 2
direct
0.750 0.846 0.794
0.250 0.160 0.898
0.250 0.154 0.206
0.750 0.434 0.096
0.750 0.752 0.332
0.750 0.484 0.617
0.250 0.516 0.383
0.750 0.087 0.416
0.250 0.248 0.668
0.750 0.840 0.102
0.250 0.566 0.904
0.250 0.913 0.584
0.750 0.704 0.540
0.750 0.068 0.023
0.750 0.331 0.840
0.250 0.296 0.460
0.250 0.932 0.977
0.250 0.669 0.160
0.750 0.101 0.726
0.250 0.899 0.274
```

symmetry = No. 11
E = -10.71 eV per formula unit

---

[13]
Here is an optimized crystal structure of Rb6Ag2Hg from the Alexandria database. Energies are from GGA-PBE.

The structure in POSCAR format:
```
Rb6Ag2Hg
1.0
2.820 6.824 -7.882
6.645 -8.494 0.586
-9.770 -4.270 -1.719
Rb Ag Hg
12 4 2
direct
0.463 0.282 0.181
0.899 0.718 0.181
0.800 0.236 0.036
0.200 0.764 0.964
0.696 0.023 0.326
0.696 0.370 0.674
0.304 0.630 0.326
0.800 0.764 0.564
0.304 0.977 0.674
0.101 0.282 0.819
0.200 0.236 0.436
0.537 0.718 0.819
0.623 0.000 0.623
0.377 0.000 0.377
0.500 0.608 0.108
0.500 0.392 0.892
0.000 0.500 0.500
0.000 0.000 0.000
```

symmetry = No. 71
E = -11.95 eV per formula unit

---

[14]
Here is an optimized crystal structure of RbAgHg2 from the Alexandria database. Energies are from GGA-PBE.

The structure in POSCAR format:
```
RbAgHg2
1.0
-4.177 -0.849 -2.660
0.327 -1.708 -4.713
-1.434 -6.555 -0.402
Rb Ag Hg
1 1 2
direct
0.000 0.000 0.000
0.500 0.500 0.500
0.795 0.795 0.615
0.205 0.205 0.385
```

symmetry = No. 166
distance to the lowest polymorph of the same formula = 0.0 meV/atom

---

[15]
Here is an optimized crystal structure of Rb4Ag3Hg from the Alexandria database. Energies are from GGA-PBE.

The structure in POSCAR format:
```
Rb4Ag3Hg
1.0
5.128 0.000 0.000
0.000 5.070 0.000
0.000 0.000 12.956
Rb Ag Hg
4 3 1
direct
0.500 0.000 0.642
0.000 0.500 0.849
0.000 0.000 0.146
0.500 0.500 0.360
0.500 0.000 0.941
0.000 0.500 0.551
0.000 0.000 0.449
0.500 0.500 0.060
```

symmetry = No. 25
E = -12.96 eV per formula unit

---

[16]
Here is an optimized crystal structure of RbAgHg6 from the Alexandria database. Energies are from GGA-PBE.

The structure in POSCAR format:
```
RbAgHg6
1.0
-4.270 -2.273 -2.244
-0.261 -5.306 -0.464
-5.686 -3.064 7.585
Hg Rb Ag
6 1 1
direct
0.640 0.640 0.081
0.753 0.753 0.740
0.101 0.101 0.696
0.899 0.899 0.304
0.360 0.360 0.919
0.247 0.247 0.260
0.500 0.500 0.500
0.000 0.000 0.000
```

symmetry = No. 166
E = -6.11 eV per formula unit

---

[17]
Here is an optimized crystal structure of Rb5AgHg from the Alexandria database. Energies are from GGA-PBE.

The structure in POSCAR format:
```
Rb5AgHg
1.0
9.589 -2.869 4.468
-4.027 9.163 4.468
0.409 0.463 12.446
Rb Ag Hg
10 2 2
direct
0.451 0.283 0.852
0.901 0.599 0.250
0.881 0.187 0.577
0.687 0.381 0.077
0.217 0.049 0.648
0.549 0.717 0.148
0.313 0.619 0.923
0.099 0.401 0.750
0.119 0.813 0.423
0.783 0.951 0.352
0.500 0.500 0.500
0.000 0.000 0.000
0.759 0.741 0.750
0.241 0.259 0.250
```

symmetry = No. 15
E = -8.01 eV per formula unit

---

[18]
Here is an optimized crystal structure of RbAgHg from the Alexandria database. Energies are from GGA-PBE.

The structure in POSCAR format:
```
RbAgHg
1.0
-3.633 -0.968 1.259
1.561 -1.602 3.274
0.581 6.756 0.626
Rb Ag Hg
1 1 1
direct
0.001 0.001 0.003
0.293 0.293 0.585
0.706 0.706 0.412
```

symmetry = No. 107
distance to the lowest polymorph of the same formula = 60.7 meV/atom

---

Number 1: density 6.52 g/cm3. Number 2: density 7.21 g/cm3. Number 3: density 10.39 g/cm3. Number 4: density 3.29 g/cm3. Number 5: density 2.19 g/cm3. Number 6: density 6.24 g/cm3. Number 7: density 7.55 g/cm3. Number 8: density 6.21 g/cm3. Number 9: density 7.30 g/cm3. Number 10: density 5.95 g/cm3. Number 11: density 5.63 g/cm3. Number 12: density 3.81 g/cm3. Number 13: density 3.20 g/cm3. Number 14: density 7.45 g/cm3. Number 15: density 4.27 g/cm3. Number 16: density 9.94 g/cm3. Number 17: density 2.72 g/cm3. Number 18: density 6.70 g/cm3.